# PBE-GGA Nd3ErTl2, optimized geometry
data_Nd3ErTl2
_cell_length_a 8.588
_cell_length_b 8.588
_cell_length_c 10.368
_cell_angle_alpha 117.27
_cell_angle_beta 117.27
_cell_angle_gamma 34.25
_symmetry_space_group_name_H-M 'P 1'
_symmetry_Int_Tables_number 1
_symmetry_space_group_name_Hall 'P 1'
loop_
_atom_site_label
_atom_site_fract_x
_atom_site_fract_y
_atom_site_fract_z
_atom_site_occupancy
Nd1 0.041 0.041 0.360 1
Nd2 0.289 0.289 0.622 1
Nd3 0.366 0.366 0.328 1
Nd4 0.634 0.634 0.672 1
Nd5 0.711 0.711 0.378 1
Nd6 0.959 0.959 0.640 1
Er1 0.118 0.118 0.067 1
Er2 0.882 0.882 0.933 1
Tl1 0.242 0.242 0.899 1
Tl2 0.487 0.487 0.137 1
Tl3 0.513 0.513 0.863 1
Tl4 0.758 0.758 0.101 1
# Excess energy over the best structure of this formula in the dataset ... 0.56 eV per formula unit
# SG ... No. 12
# Formation enthalpy at 0 K ... -0.173 eV per atom

# PBE-GGA BaTeBr2, optimized geometry
data_BaTeBr2
_cell_length_a 8.048
_cell_length_b 8.048
_cell_length_c 8.048
_cell_angle_alpha 147.48
_cell_angle_beta 147.17
_cell_angle_gamma 46.88
_symmetry_space_group_name_H-M 'P 1'
_symmetry_Int_Tables_number 1
_symmetry_space_group_name_Hall 'P 1'
loop_
_atom_site_label
_atom_site_fract_x
_atom_site_fract_y
_atom_site_fract_z
_atom_site_occupancy
Ba1 0.000 0.000 0.000 1
Te1 0.182 0.682 0.500 1
Br1 0.433 0.433 0.000 1
Br2 0.673 0.173 0.500 1
# Excess energy over the best structure of this formula in the dataset ... 0.49 eV per formula unit
# SG ... No. 44
# ΔE_f (raw) ... -1.218 eV/atom

# PBE-GGA Zn2CdCuN, optimized geometry
data_Zn2CdCuN
_cell_length_a 4.979
_cell_length_b 4.979
_cell_length_c 3.541
_cell_angle_alpha 90.00
_cell_angle_beta 90.00
_cell_angle_gamma 90.00
_symmetry_space_group_name_H-M 'P 1'
_symmetry_Int_Tables_number 1
_symmetry_space_group_name_Hall 'P 1'
loop_
_atom_site_label
_atom_site_fract_x
_atom_site_fract_y
_atom_site_fract_z
_atom_site_occupancy
Zn1 0.000 0.500 0.000 1
Zn2 0.500 0.000 0.000 1
Cd1 0.000 0.000 0.500 1
Cu1 0.500 0.500 0.000 1
N1 0.500 0.500 0.500 1
# SG ... No. 123
# ΔE_f (raw) ... 0.666 eV/atom

# PBE-GGA MgPtBr2, optimized geometry
data_MgPtBr2
_cell_length_a 8.741
_cell_length_b 8.741
_cell_length_c 8.741
_cell_angle_alpha 23.28
_cell_angle_beta 23.28
_cell_angle_gamma 23.28
_symmetry_space_group_name_H-M 'P 1'
_symmetry_Int_Tables_number 1
_symmetry_space_group_name_Hall 'P 1'
loop_
_atom_site_label
_atom_site_fract_x
_atom_site_fract_y
_atom_site_fract_z
_atom_site_occupancy
Mg1 0.000 0.000 0.000 1
Pt1 0.500 0.500 0.500 1
Br1 0.268 0.268 0.268 1
Br2 0.732 0.732 0.732 1
# Excess energy over the best structure of this formula in the dataset ... 2.17 eV per formula unit
# SG ... No. 166
# ΔE_f (raw) ... -0.122 eV/atom

# PBE-GGA CsK9Au2, optimized geometry
data_CsK9Au2
_cell_length_a 12.451
_cell_length_b 12.451
_cell_length_c 5.281
_cell_angle_alpha 90.00
_cell_angle_beta 90.00
_cell_angle_gamma 120.00
_symmetry_space_group_name_H-M 'P 1'
_symmetry_Int_Tables_number 1
_symmetry_space_group_name_Hall 'P 1'
loop_
_atom_site_label
_atom_site_fract_x
_atom_site_fract_y
_atom_site_fract_z
_atom_site_occupancy
Cs1 0.000 0.000 0.000 1
K1 0.000 0.500 0.000 1
K2 0.219 0.438 0.500 1
K3 0.219 0.781 0.500 1
K4 0.438 0.219 0.500 1
K5 0.500 0.000 0.000 1
K6 0.500 0.500 0.000 1
K7 0.562 0.781 0.500 1
K8 0.781 0.219 0.500 1
K9 0.781 0.562 0.500 1
Au1 0.333 0.667 0.000 1
Au2 0.667 0.333 0.000 1
# SG ... No. 191
# Formation enthalpy at 0 K ... -0.104 eV per atom

# PBE-GGA CaPr2Eu, optimized geometry
data_CaPr2Eu
_cell_length_a 6.010
_cell_length_b 6.010
_cell_length_c 6.010
_cell_angle_alpha 60.00
_cell_angle_beta 60.00
_cell_angle_gamma 60.00
_symmetry_space_group_name_H-M 'P 1'
_symmetry_Int_Tables_number 1
_symmetry_space_group_name_Hall 'P 1'
loop_
_atom_site_label
_atom_site_fract_x
_atom_site_fract_y
_atom_site_fract_z
_atom_site_occupancy
Ca1 0.000 0.000 0.000 1
Pr1 0.250 0.250 0.250 1
Pr2 0.750 0.750 0.750 1
Eu1 0.500 0.500 0.500 1
# Excess energy over the best structure of this formula in the dataset ... 0.19 eV per formula unit
# SG ... No. 225
# Formation enthalpy at 0 K ... 0.110 eV per atom

# PBE-GGA SnAuSe2N, optimized geometry
data_SnAuSe2N
_cell_length_a 5.407
_cell_length_b 5.407
_cell_length_c 3.924
_cell_angle_alpha 90.00
_cell_angle_beta 90.00
_cell_angle_gamma 90.00
_symmetry_space_group_name_H-M 'P 1'
_symmetry_Int_Tables_number 1
_symmetry_space_group_name_Hall 'P 1'
loop_
_atom_site_label
_atom_site_fract_x
_atom_site_fract_y
_atom_site_fract_z
_atom_site_occupancy
Sn1 0.000 0.000 0.000 1
Au1 0.500 0.500 0.500 1
Se1 0.000 0.500 0.000 1
Se2 0.500 0.000 0.000 1
N1 0.000 0.000 0.500 1
# Excess energy over the best structure of this formula in the dataset ... 1.34 eV per formula unit
# SG ... No. 123
# ΔE_f (raw) ... 1.017 eV/atom

# PBE-GGA TlCdBiCl6, optimized geometry
data_TlCdBiCl6
_cell_length_a 7.052
_cell_length_b 7.052
_cell_length_c 13.992
_cell_angle_alpha 90.00
_cell_angle_beta 90.00
_cell_angle_gamma 120.00
_symmetry_space_group_name_H-M 'P 1'
_symmetry_Int_Tables_number 1
_symmetry_space_group_name_Hall 'P 1'
loop_
_atom_site_label
_atom_site_fract_x
_atom_site_fract_y
_atom_site_fract_z
_atom_site_occupancy
Tl1 0.000 0.000 0.000 1
Tl2 0.000 0.000 0.500 1
Cd1 0.333 0.667 0.250 1
Cd2 0.667 0.333 0.750 1
Bi1 0.333 0.667 0.750 1
Bi2 0.667 0.333 0.250 1
Cl1 0.007 0.374 0.140 1
Cl2 0.007 0.633 0.360 1
Cl3 0.367 0.374 0.360 1
Cl4 0.367 0.993 0.140 1
Cl5 0.374 0.007 0.640 1
Cl6 0.374 0.367 0.860 1
Cl7 0.626 0.633 0.140 1
Cl8 0.626 0.993 0.360 1
Cl9 0.633 0.007 0.860 1
Cl10 0.633 0.626 0.640 1
Cl11 0.993 0.367 0.640 1
Cl12 0.993 0.626 0.860 1
# SG ... No. 163
# ΔE_f (raw) ... -1.056 eV/atom

Copy entry 8 word for word.
# PBE-GGA TlCdBiCl6, optimized geometry
data_TlCdBiCl6
_cell_length_a 7.052
_cell_length_b 7.052
_cell_length_c 13.992
_cell_angle_alpha 90.00
_cell_angle_beta 90.00
_cell_angle_gamma 120.00
_symmetry_space_group_name_H-M 'P 1'
_symmetry_Int_Tables_number 1
_symmetry_space_group_name_Hall 'P 1'
loop_
_atom_site_label
_atom_site_fract_x
_atom_site_fract_y
_atom_site_fract_z
_atom_site_occupancy
Tl1 0.000 0.000 0.000 1
Tl2 0.000 0.000 0.500 1
Cd1 0.333 0.667 0.250 1
Cd2 0.667 0.333 0.750 1
Bi1 0.333 0.667 0.750 1
Bi2 0.667 0.333 0.250 1
Cl1 0.007 0.374 0.140 1
Cl2 0.007 0.633 0.360 1
Cl3 0.367 0.374 0.360 1
Cl4 0.367 0.993 0.140 1
Cl5 0.374 0.007 0.640 1
Cl6 0.374 0.367 0.860 1
Cl7 0.626 0.633 0.140 1
Cl8 0.626 0.993 0.360 1
Cl9 0.633 0.007 0.860 1
Cl10 0.633 0.626 0.640 1
Cl11 0.993 0.367 0.640 1
Cl12 0.993 0.626 0.860 1
# SG ... No. 163
# ΔE_f (raw) ... -1.056 eV/atom